<a>
First-principles (PBE+U) data for crystalline VBF2 at its relaxed geometry, as listed in the Alexandria database.

Values from the calculation:
The calculation puts the volume at 16.84 Å³/atom. Its total moment is 3.06 μB per formula unit.

Cell: 7.989 7.989 7.989 Å, 22.83 22.83 22.83°
Fractional positions:
V (0.000, 0.000, 0.000)
B (0.500, 0.500, 0.500)
F (0.378, 0.378, 0.378)
F (0.622, 0.622, 0.622)

<b>
First-principles (PBE+U) data for crystalline VBF2 at its relaxed geometry, as listed in the Alexandria database.

Values from the calculation:
The calculation puts the volume at 9.68 Å³/atom. Its total moment is 0.00 μB per formula unit.

Cell: 7.552 7.552 7.552 Å, 154.89 154.89 35.81°
Fractional positions:
V (0.000, 0.000, 0.000)
V (0.750, 0.250, 0.500)
B (0.250, 0.750, 0.500)
B (0.500, 0.500, 0.000)
F (0.106, 0.625, 0.981)
F (0.375, 0.356, 0.481)
F (0.644, 0.125, 0.019)
F (0.875, 0.894, 0.519)

<a> is preferred energetically. Next in line: 240 meV/atom higher.

<a>
First-principles (PBE+U) data for crystalline V2BF2 at its relaxed geometry, as listed in the Alexandria database.

Values from the calculation:
The calculation puts the volume at 12.38 Å³/atom. Its total moment is 5.00 μB per formula unit.

Cell: 4.488 4.488 4.488 Å, 121.98 121.98 86.61°
Fractional positions:
V (0.250, 0.750, 0.500)
V (0.750, 0.250, 0.500)
B (0.000, 0.000, 0.000)
F (0.311, 0.311, 0.000)
F (0.689, 0.689, 0.000)

<b>
First-principles (PBE+U) data for crystalline V2BF2 at its relaxed geometry, as listed in the Alexandria database.

Values from the calculation:
The calculation puts the volume at 12.49 Å³/atom. Its total moment is 5.04 μB per formula unit.

Cell: 6.712 6.712 2.772 Å, 90.00 90.00 90.00°
Fractional positions:
V (0.218, 0.282, 0.000)
V (0.282, 0.782, 0.000)
V (0.718, 0.218, 0.000)
V (0.782, 0.718, 0.000)
B (0.000, 0.000, 0.500)
B (0.500, 0.500, 0.500)
F (0.117, 0.617, 0.500)
F (0.383, 0.117, 0.500)
F (0.617, 0.883, 0.500)
F (0.883, 0.383, 0.500)

<a> is preferred energetically. Next in line: 100 meV/atom higher.

<a>
First-principles (PBE+U) data for crystalline B3WF at its relaxed geometry, as listed in the Alexandria database.

Values from the calculation:
The calculation puts the volume at 9.47 Å³/atom. Its total moment is 0.00 μB per formula unit.

Cell: 3.618 3.618 3.618 Å, 90.00 90.00 90.00°
Fractional positions:
B (0.000, 0.000, 0.500)
B (0.000, 0.500, 0.000)
B (0.500, 0.000, 0.000)
W (0.500, 0.500, 0.500)
F (0.000, 0.000, 0.000)

<b>
First-principles (PBE+U) data for crystalline B3WF at its relaxed geometry, as listed in the Alexandria database.

Values from the calculation:
The calculation puts the volume at 16.30 Å³/atom. Its total moment is 2.55 μB per formula unit.

Cell: 4.335 4.335 4.335 Å, 90.00 90.00 90.00°
Fractional positions:
B (0.000, 0.000, 0.500)
B (0.000, 0.500, 0.000)
B (0.500, 0.000, 0.000)
W (0.000, 0.000, 0.000)
F (0.500, 0.500, 0.500)

<a> is preferred energetically. Next in line: 169 meV/atom higher.

<a>
First-principles (PBE+U) data for crystalline BWF2 at its relaxed geometry, as listed in the Alexandria database.

Values from the calculation:
The calculation puts the volume at 10.89 Å³/atom. Its total moment is 0.00 μB per formula unit.

Cell: 3.950 3.950 3.950 Å, 60.00 60.00 60.00°
Fractional positions:
B (0.000, 0.000, 0.000)
W (0.500, 0.500, 0.500)
F (0.250, 0.250, 0.250)
F (0.750, 0.750, 0.750)

<b>
First-principles (PBE+U) data for crystalline BWF2 at its relaxed geometry, as listed in the Alexandria database.

Values from the calculation:
The calculation puts the volume at 15.85 Å³/atom. Its total moment is 4.86 μB per formula unit.

Cell: 5.649 5.649 5.649 Å, 120.33 120.33 89.42°
Fractional positions:
B (0.375, 0.625, 0.750)
B (0.625, 0.375, 0.250)
W (0.125, 0.875, 0.250)
W (0.875, 0.125, 0.750)
F (0.000, 0.500, 0.500)
F (0.500, 0.000, 0.000)
F (0.500, 0.500, 0.000)
F (0.500, 0.500, 0.500)

<c>
First-principles (PBE+U) data for crystalline BWF2 at its relaxed geometry, as listed in the Alexandria database.

Values from the calculation:
The calculation puts the volume at 17.11 Å³/atom. Its total moment is 0.08 μB per formula unit.

Cell: 9.270 9.270 9.270 Å, 18.28 18.28 18.28°
Fractional positions:
B (0.000, 0.000, 0.000)
W (0.500, 0.500, 0.500)
F (0.431, 0.431, 0.431)
F (0.569, 0.569, 0.569)

<c> is preferred energetically. Next in line: 321 meV/atom higher.